# Pa2Ga3Co4 (PBE, relaxed)
# energy relative to the elements	-46.8	kJ/mol of atoms
# spin magnetization	0.00	μB/f.u.
data_Pa2Ga3Co4
_cell_length_a 5.569
_cell_length_b 15.839
_cell_length_c 6.291
_cell_angle_alpha 90.00
_cell_angle_beta 90.00
_cell_angle_gamma 90.00
_symmetry_space_group_name_H-M 'C m c e'
_symmetry_Int_Tables_number 64
_symmetry_space_group_name_Hall '-C 2ac 2'
loop_
_atom_site_label
_atom_site_type_symbol
_atom_site_fract_x
_atom_site_fract_y
_atom_site_fract_z
Pa1 Pa 0.000 0.106 0.082
Ga1 Ga 0.000 0.000 0.500
Ga2 Ga 0.250 0.234 0.750
Co1 Co 0.000 0.160 0.458
Co2 Co 0.250 0.079 0.750

# Pa2GaCo9 (PBE, relaxed)
# energy relative to the elements	-11.8	kJ/mol of atoms
# spin magnetization	6.85	μB/f.u.
data_Pa2GaCo9
_cell_length_a 4.7858
_cell_length_b 4.7858
_cell_length_c 24.6186
_cell_angle_alpha 90.00
_cell_angle_beta 90.00
_cell_angle_gamma 120.00
_symmetry_space_group_name_H-M 'R -3 m'
_symmetry_Int_Tables_number 166
_symmetry_space_group_name_Hall '-R 3 2"'
loop_
_atom_site_label
_atom_site_type_symbol
_atom_site_fract_x
_atom_site_fract_y
_atom_site_fract_z
Pa1 Pa 0.0000 0.0000 0.1337
Ga1 Ga 0.0000 0.0000 0.0000
Co1 Co 0.0000 0.0000 0.3332
Co2 Co 0.0000 0.0000 0.5000
Co3 Co 0.0000 0.5000 0.0817

# Pa2GaCo2 (PBE, relaxed)
# energy relative to the elements	-42.9	kJ/mol of atoms
# spin magnetization	0.00	μB/f.u.
data_Pa2GaCo2
_cell_length_a 4.320
_cell_length_b 5.452
_cell_length_c 7.454
_cell_angle_alpha 90.00
_cell_angle_beta 90.00
_cell_angle_gamma 90.00
_symmetry_space_group_name_H-M 'I m m m'
_symmetry_Int_Tables_number 71
_symmetry_space_group_name_Hall '-I 2 2'
loop_
_atom_site_label
_atom_site_type_symbol
_atom_site_fract_x
_atom_site_fract_y
_atom_site_fract_z
Pa1 Pa 0.000 0.000 0.198
Ga1 Ga 0.000 0.500 0.000
Co1 Co 0.000 0.256 0.500

# Pa2GaCo2 (PBE, relaxed)
# energy relative to the elements	-50.1	kJ/mol of atoms
# spin magnetization	0.00	μB/f.u.
data_Pa2GaCo2
_cell_length_a 7.156
_cell_length_b 7.156
_cell_length_c 3.495
_cell_angle_alpha 90.00
_cell_angle_beta 90.00
_cell_angle_gamma 90.00
_symmetry_space_group_name_H-M 'P 4/m b m'
_symmetry_Int_Tables_number 127
_symmetry_space_group_name_Hall '-P 4 2ab'
loop_
_atom_site_label
_atom_site_type_symbol
_atom_site_fract_x
_atom_site_fract_y
_atom_site_fract_z
Pa1 Pa 0.176 0.324 0.000
Ga1 Ga 0.000 0.000 0.500
Co1 Co 0.134 0.634 0.500

# Pa4Ga12Co (PBE, relaxed)
# energy relative to the elements	-38.4	kJ/mol of atoms
# spin magnetization	0.00	μB/f.u.
data_Pa4Ga12Co
_cell_length_a 8.608
_cell_length_b 8.608
_cell_length_c 8.608
_cell_angle_alpha 90.00
_cell_angle_beta 90.00
_cell_angle_gamma 90.00
_symmetry_space_group_name_H-M 'I m -3 m'
_symmetry_Int_Tables_number 229
_symmetry_space_group_name_Hall '-I 4 2 3'
loop_
_atom_site_label
_atom_site_type_symbol
_atom_site_fract_x
_atom_site_fract_y
_atom_site_fract_z
Pa1 Pa 0.250 0.250 0.250
Ga1 Ga 0.000 0.000 0.287
Ga2 Ga 0.000 0.250 0.500
Co1 Co 0.000 0.000 0.000

# Pa2Ga3Co5 (PBE, relaxed)
# energy relative to the elements	-26.9	kJ/mol of atoms
# spin magnetization	0.00	μB/f.u.
data_Pa2Ga3Co5
_cell_length_a 10.176
_cell_length_b 10.837
_cell_length_c 5.558
_cell_angle_alpha 90.00
_cell_angle_beta 90.00
_cell_angle_gamma 90.00
_symmetry_space_group_name_H-M 'I b a m'
_symmetry_Int_Tables_number 72
_symmetry_space_group_name_Hall '-I 2 2c'
loop_
_atom_site_label
_atom_site_type_symbol
_atom_site_fract_x
_atom_site_fract_y
_atom_site_fract_z
Pa1 Pa 0.231 0.123 0.000
Ga1 Ga 0.000 0.500 0.250
Ga2 Ga 0.108 0.141 0.500
Co1 Co 0.000 0.000 0.250
Co2 Co 0.000 0.281 0.250
Co3 Co 0.164 0.385 0.000

# Pa3Ga4Co4 (PBE, relaxed)
# energy relative to the elements	-45.2	kJ/mol of atoms
# spin magnetization	0.00	μB/f.u.
data_Pa3Ga4Co4
_cell_length_a 3.519
_cell_length_b 7.616
_cell_length_c 13.669
_cell_angle_alpha 90.00
_cell_angle_beta 90.00
_cell_angle_gamma 90.00
_symmetry_space_group_name_H-M 'I m m m'
_symmetry_Int_Tables_number 71
_symmetry_space_group_name_Hall '-I 2 2'
loop_
_atom_site_label
_atom_site_type_symbol
_atom_site_fract_x
_atom_site_fract_y
_atom_site_fract_z
Pa1 Pa 0.000 0.000 0.000
Pa2 Pa 0.000 0.500 0.109
Ga1 Ga 0.000 0.311 0.322
Co1 Co 0.000 0.000 0.250
Co2 Co 0.000 0.253 0.500

# Pa2Ga5Co4 (PBE, relaxed)
# energy relative to the elements	-33.0	kJ/mol of atoms
# spin magnetization	0.00	μB/f.u.
data_Pa2Ga5Co4
_cell_length_a 5.010
_cell_length_b 8.948
_cell_length_c 15.649
_cell_angle_alpha 90.00
_cell_angle_beta 90.00
_cell_angle_gamma 90.00
_symmetry_space_group_name_H-M 'F m m m'
_symmetry_Int_Tables_number 69
_symmetry_space_group_name_Hall '-F 2 2'
loop_
_atom_site_label
_atom_site_type_symbol
_atom_site_fract_x
_atom_site_fract_y
_atom_site_fract_z
Pa1 Pa 0.000 0.000 0.135
Ga1 Ga 0.000 0.000 0.500
Ga2 Ga 0.250 0.250 0.000
Ga3 Ga 0.250 0.250 0.250
Co1 Co 0.000 0.150 0.369

# Pa4Ga16Co3 (PBE, relaxed)
# energy relative to the elements	-38.8	kJ/mol of atoms
# spin magnetization	0.00	μB/f.u.
data_Pa4Ga16Co3
_cell_length_a 6.093
_cell_length_b 6.093
_cell_length_c 11.021
_cell_angle_alpha 90.00
_cell_angle_beta 90.00
_cell_angle_gamma 90.00
_symmetry_space_group_name_H-M 'P 4/m m m'
_symmetry_Int_Tables_number 123
_symmetry_space_group_name_Hall '-P 4 2'
loop_
_atom_site_label
_atom_site_type_symbol
_atom_site_fract_x
_atom_site_fract_y
_atom_site_fract_z
Pa1 Pa 0.000 0.500 0.193
Ga1 Ga 0.000 0.000 0.198
Ga2 Ga 0.220 0.220 0.000
Ga3 Ga 0.248 0.248 0.384
Ga4 Ga 0.500 0.500 0.222
Co1 Co 0.000 0.500 0.500
Co2 Co 0.500 0.500 0.000

# PaGa2Co6 (PBE, relaxed)
# energy relative to the elements	-4.3	kJ/mol of atoms
# spin magnetization	6.15	μB/f.u.
data_PaGa2Co6
_cell_length_a 3.394
_cell_length_b 6.013
_cell_length_c 12.361
_cell_angle_alpha 90.00
_cell_angle_beta 90.00
_cell_angle_gamma 90.00
_symmetry_space_group_name_H-M 'I m m m'
_symmetry_Int_Tables_number 71
_symmetry_space_group_name_Hall '-I 2 2'
loop_
_atom_site_label
_atom_site_type_symbol
_atom_site_fract_x
_atom_site_fract_y
_atom_site_fract_z
Pa1 Pa 0.000 0.000 0.000
Ga1 Ga 0.000 0.500 0.127
Co1 Co 0.000 0.196 0.500
Co2 Co 0.000 0.307 0.308

# Pa2Ga5Co3 (PBE, relaxed)
# energy relative to the elements	-41.9	kJ/mol of atoms
# spin magnetization	0.00	μB/f.u.
data_Pa2Ga5Co3
_cell_length_a 4.089
_cell_length_b 23.838
_cell_length_c 6.733
_cell_angle_alpha 90.00
_cell_angle_beta 90.00
_cell_angle_gamma 90.00
_symmetry_space_group_name_H-M 'C m c 21'
_symmetry_Int_Tables_number 36
_symmetry_space_group_name_Hall 'C 2c -2'
loop_
_atom_site_label
_atom_site_type_symbol
_atom_site_fract_x
_atom_site_fract_y
_atom_site_fract_z
Pa1 Pa 0.000 0.029 0.000
Pa2 Pa 0.000 0.324 0.903
Ga1 Ga 0.000 0.098 0.609
Ga2 Ga 0.000 0.204 0.085
Ga3 Ga 0.000 0.209 0.701
Ga4 Ga 0.000 0.370 0.448
Ga5 Ga 0.000 0.448 0.842
Co1 Co 0.000 0.106 0.223
Co2 Co 0.000 0.265 0.388
Co3 Co 0.000 0.454 0.221

# PaGa5Co2 (PBE, relaxed)
# energy relative to the elements	-34.0	kJ/mol of atoms
# spin magnetization	0.00	μB/f.u.
data_PaGa5Co2
_cell_length_a 3.805
_cell_length_b 7.478
_cell_length_c 8.933
_cell_angle_alpha 90.00
_cell_angle_beta 90.00
_cell_angle_gamma 90.00
_symmetry_space_group_name_H-M 'I m m m'
_symmetry_Int_Tables_number 71
_symmetry_space_group_name_Hall '-I 2 2'
loop_
_atom_site_label
_atom_site_type_symbol
_atom_site_fract_x
_atom_site_fract_y
_atom_site_fract_z
Pa1 Pa 0.000 0.000 0.000
Ga1 Ga 0.000 0.187 0.342
Ga2 Ga 0.000 0.500 0.000
Co1 Co 0.000 0.500 0.274

# Pa3GaCo8 (PBE, relaxed)
# energy relative to the elements	-31.0	kJ/mol of atoms
# spin magnetization	0.00	μB/f.u.
data_Pa3GaCo8
_cell_length_a 4.9111
_cell_length_b 4.9111
_cell_length_c 24.1427
_cell_angle_alpha 90.00
_cell_angle_beta 90.00
_cell_angle_gamma 120.00
_symmetry_space_group_name_H-M 'R 3 m'
_symmetry_Int_Tables_number 160
_symmetry_space_group_name_Hall 'R 3 -2"'
loop_
_atom_site_label
_atom_site_type_symbol
_atom_site_fract_x
_atom_site_fract_y
_atom_site_fract_z
Pa1 Pa 0.0000 0.0000 0.0000
Pa2 Pa 0.0000 0.0000 0.1273
Pa3 Pa 0.0000 0.0000 0.6201
Ga1 Ga 0.0000 0.0000 0.4965
Co1 Co 0.0000 0.0000 0.3121
Co2 Co 0.0000 0.0000 0.8130
Co3 Co 0.0016 0.5008 0.5606
Co4 Co 0.0044 0.5022 0.0637

# Pa8Ga2Co (PBE, relaxed)
# energy relative to the elements	-5.5	kJ/mol of atoms
# spin magnetization	0.00	μB/f.u.
data_Pa8Ga2Co
_cell_length_a 15.493
_cell_length_b 5.259
_cell_length_c 6.509
_cell_angle_alpha 90.00
_cell_angle_beta 112.17
_cell_angle_gamma 90.00
_symmetry_space_group_name_H-M 'C 1 2/m 1'
_symmetry_Int_Tables_number 12
_symmetry_space_group_name_Hall '-C 2y'
loop_
_atom_site_label
_atom_site_type_symbol
_atom_site_fract_x
_atom_site_fract_y
_atom_site_fract_z
Pa1 Pa 0.002 0.000 0.246
Pa2 Pa 0.114 0.500 0.917
Pa3 Pa 0.140 0.500 0.370
Pa4 Pa 0.174 0.000 0.665
Ga1 Ga 0.195 0.000 0.176
Co1 Co 0.000 0.500 0.500

# Pa2GaCo5 (PBE, relaxed)
# energy relative to the elements	-29.5	kJ/mol of atoms
# spin magnetization	0.00	μB/f.u.
data_Pa2GaCo5
_cell_length_a 5.646
_cell_length_b 5.646
_cell_length_c 7.449
_cell_angle_alpha 90.00
_cell_angle_beta 90.00
_cell_angle_gamma 90.00
_symmetry_space_group_name_H-M 'I 4 m m'
_symmetry_Int_Tables_number 107
_symmetry_space_group_name_Hall 'I 4 -2'
loop_
_atom_site_label
_atom_site_type_symbol
_atom_site_fract_x
_atom_site_fract_y
_atom_site_fract_z
Pa1 Pa 0.000 0.500 0.000
Ga1 Ga 0.000 0.000 0.163
Co1 Co 0.000 0.000 0.504
Co2 Co 0.221 0.221 0.763

# Pa4Ga5Co2 (PBE, relaxed)
# energy relative to the elements	-35.4	kJ/mol of atoms
# spin magnetization	0.00	μB/f.u.
data_Pa4Ga5Co2
_cell_length_a 7.165
_cell_length_b 3.215
_cell_length_c 9.292
_cell_angle_alpha 90.00
_cell_angle_beta 93.70
_cell_angle_gamma 90.00
_symmetry_space_group_name_H-M 'P 1 2/m 1'
_symmetry_Int_Tables_number 10
_symmetry_space_group_name_Hall '-P 2y'
loop_
_atom_site_label
_atom_site_type_symbol
_atom_site_fract_x
_atom_site_fract_y
_atom_site_fract_z
Pa1 Pa 0.158 0.000 0.370
Pa2 Pa 0.247 0.000 0.951
Ga1 Ga 0.204 0.500 0.665
Ga2 Ga 0.445 0.500 0.202
Ga3 Ga 0.500 0.500 0.500
Co1 Co 0.065 0.500 0.142

# PaGa3Co2 (PBE, relaxed)
# energy relative to the elements	-35.9	kJ/mol of atoms
# spin magnetization	0.00	μB/f.u.
# polymorph energy (0 for the lowest one)	0	meV/atom
data_PaGa3Co2
_cell_length_a 16.574
_cell_length_b 3.854
_cell_length_c 9.279
_cell_angle_alpha 90.00
_cell_angle_beta 105.70
_cell_angle_gamma 90.00
_symmetry_space_group_name_H-M 'C 1 2/m 1'
_symmetry_Int_Tables_number 12
_symmetry_space_group_name_Hall '-C 2y'
loop_
_atom_site_label
_atom_site_type_symbol
_atom_site_fract_x
_atom_site_fract_y
_atom_site_fract_z
Pa1 Pa 0.000 0.000 0.000
Pa2 Pa 0.154 0.000 0.693
Ga1 Ga 0.000 0.500 0.500
Ga2 Ga 0.049 0.000 0.354
Ga3 Ga 0.146 0.500 0.202
Ga4 Ga 0.147 0.500 0.938
Ga5 Ga 0.219 0.000 0.386
Co1 Co 0.002 0.500 0.794
Co2 Co 0.137 0.500 0.463
Co3 Co 0.217 0.000 0.102

# PaGaCoPd (PBE, relaxed)
# energy relative to the elements	-34.9	kJ/mol of atoms
# spin magnetization	0.00	μB/f.u.
data_PaGaCoPd
_cell_length_a 6.531
_cell_length_b 6.531
_cell_length_c 6.531
_cell_angle_alpha 90.00
_cell_angle_beta 90.00
_cell_angle_gamma 90.00
_symmetry_space_group_name_H-M 'F -4 3 m'
_symmetry_Int_Tables_number 216
_symmetry_space_group_name_Hall 'F -4 2 3'
loop_
_atom_site_label
_atom_site_type_symbol
_atom_site_fract_x
_atom_site_fract_y
_atom_site_fract_z
Pa1 Pa 0.000 0.000 0.000
Ga1 Ga 0.000 0.000 0.500
Co1 Co 0.250 0.250 0.750
Pd1 Pd 0.250 0.250 0.250

# Pa2Ga4CoPt3 (PBE, relaxed)
# energy relative to the elements	-66.0	kJ/mol of atoms
# spin magnetization	0.00	μB/f.u.
data_Pa2Ga4CoPt3
_cell_length_a 4.066
_cell_length_b 4.066
_cell_length_c 10.894
_cell_angle_alpha 90.00
_cell_angle_beta 90.00
_cell_angle_gamma 90.00
_symmetry_space_group_name_H-M 'P -4 m 2'
_symmetry_Int_Tables_number 115
_symmetry_space_group_name_Hall 'P -4 -2'
loop_
_atom_site_label
_atom_site_type_symbol
_atom_site_fract_x
_atom_site_fract_y
_atom_site_fract_z
Pa1 Pa 0.000 0.500 0.239
Ga1 Ga 0.000 0.000 0.500
Ga2 Ga 0.000 0.500 0.875
Ga3 Ga 0.500 0.500 0.500
Co1 Co 0.500 0.500 0.000
Pt1 Pt 0.000 0.000 0.000
Pt2 Pt 0.000 0.500 0.649

# PaGaCoPt (PBE, relaxed)
# energy relative to the elements	-47.2	kJ/mol of atoms
# spin magnetization	0.00	μB/f.u.
data_PaGaCoPt
_cell_length_a 6.559
_cell_length_b 6.559
_cell_length_c 6.559
_cell_angle_alpha 90.00
_cell_angle_beta 90.00
_cell_angle_gamma 90.00
_symmetry_space_group_name_H-M 'F -4 3 m'
_symmetry_Int_Tables_number 216
_symmetry_space_group_name_Hall 'F -4 2 3'
loop_
_atom_site_label
_atom_site_type_symbol
_atom_site_fract_x
_atom_site_fract_y
_atom_site_fract_z
Pa1 Pa 0.000 0.000 0.000
Ga1 Ga 0.000 0.000 0.500
Co1 Co 0.250 0.250 0.750
Pt1 Pt 0.250 0.250 0.250

Taking the records one at a time from the top gives energy values of -6.762; -7.286; -7.691; -7.765; -5.187; -6.639; -6.743; -6.028; -5.086; -6.509; -5.979; -5.207; -7.684; -8.160; -7.499; -6.488; -5.836; -6.567; -6.317; -6.907 eV per atom.